# 1
# PBE Pm3ThPb2, optimized geometry
# Offset from the most stable computed form = 334 meV/atom
# Calculated total energy = -4.895 eV per atom
# ΔH_f (0 K) = -0.0472 eV/atom
# Total magnetic moment = 0.00 μB per formula unit
data_Pm3ThPb2
_chemical_formula_sum 'Pm3 Th1 Pb2'
_cell_length_a 7.0534
_cell_length_b 7.0534
_cell_length_c 4.8591
_cell_angle_alpha 90.00
_cell_angle_beta 90.00
_cell_angle_gamma 120.00
_space_group_name_H-M_alt 'P 6/m m m'
_space_group_IT_number 191
_space_group_name_Hall '-P 6 2'
loop_
_atom_site_label
_atom_site_fract_x
_atom_site_fract_y
_atom_site_fract_z
Pm1 0.0000 0.5000 0.0000
Th1 0.0000 0.0000 0.5000
Pb1 0.3333 0.6667 0.5000

***

# 2
# PBE PuIn2Pb, optimized geometry
# Offset from the most stable computed form = 0 meV/atom
# Calculated total energy = -6.083 eV per atom
# ΔH_f (0 K) = -0.2042 eV/atom
# Total magnetic moment = 5.76 μB per formula unit
data_PuIn2Pb
_chemical_formula_sum 'Pu1 In2 Pb1'
_cell_length_a 4.649
_cell_length_b 4.649
_cell_length_c 4.869
_cell_angle_alpha 90.00
_cell_angle_beta 90.00
_cell_angle_gamma 90.00
_space_group_name_H-M_alt 'P 4/m m m'
_space_group_IT_number 123
_space_group_name_Hall '-P 4 2'
loop_
_atom_site_label
_atom_site_fract_x
_atom_site_fract_y
_atom_site_fract_z
Pu1 0.000 0.000 0.000
In1 0.000 0.500 0.500
Pb1 0.500 0.500 0.000

***

# 3
# PBE LiGdGe, optimized geometry
# Offset from the most stable computed form = 117 meV/atom
# Calculated total energy = -7.460 eV per atom
# ΔH_f (0 K) = -0.5897 eV/atom
# Total magnetic moment = 7.56 μB per formula unit
data_LiGdGe
_chemical_formula_sum 'Li1 Gd1 Ge1'
_cell_length_a 4.3945
_cell_length_b 4.3945
_cell_length_c 3.7037
_cell_angle_alpha 90.00
_cell_angle_beta 90.00
_cell_angle_gamma 120.00
_space_group_name_H-M_alt 'P -6 m 2'
_space_group_IT_number 187
_space_group_name_Hall 'P -6 2'
loop_
_atom_site_label
_atom_site_fract_x
_atom_site_fract_y
_atom_site_fract_z
Li1 0.0000 0.0000 0.0000
Gd1 0.6667 0.3333 0.5000
Ge1 0.3333 0.6667 0.0000

***

# 4
# PBE VPt3Cl, optimized geometry
# Formation energy without anion corrections = 932 meV per atom
# Offset from the most stable computed form = 0 meV/atom
# Calculated total energy = -4.886 eV per atom
# Total magnetic moment = 0.00 μB per formula unit
data_VPt3Cl
_chemical_formula_sum 'V1 Pt3 Cl1'
_cell_length_a 4.685
_cell_length_b 4.685
_cell_length_c 4.685
_cell_angle_alpha 90.00
_cell_angle_beta 90.00
_cell_angle_gamma 90.00
_space_group_name_H-M_alt 'P m -3 m'
_space_group_IT_number 221
_space_group_name_Hall '-P 4 2 3'
loop_
_atom_site_label
_atom_site_fract_x
_atom_site_fract_y
_atom_site_fract_z
V1 0.000 0.000 0.000
Pt1 0.000 0.000 0.500
Cl1 0.500 0.500 0.500

***

# 5
# PBE Li2YSc, optimized geometry
# Offset from the most stable computed form = 95 meV/atom
# Calculated total energy = -3.976 eV per atom
# ΔH_f (0 K) = 0.1802 eV/atom
# Total magnetic moment = 0.00 μB per formula unit
data_Li2YSc
_chemical_formula_sum 'Li2 Y1 Sc1'
_cell_length_a 3.251
_cell_length_b 4.895
_cell_length_c 6.319
_cell_angle_alpha 90.00
_cell_angle_beta 104.88
_cell_angle_gamma 90.00
_space_group_name_H-M_alt 'P 1 m 1'
_space_group_IT_number 6
_space_group_name_Hall 'P -2y'
loop_
_atom_site_label
_atom_site_fract_x
_atom_site_fract_y
_atom_site_fract_z
Li1 0.000 0.000 0.000
Li2 0.124 0.500 0.256
Y1 0.381 0.500 0.766
Sc1 0.734 0.000 0.473

***

# 6
# PBE CoTcRh2, optimized geometry
# Offset from the most stable computed form = 72 meV/atom
# Calculated total energy = -7.992 eV per atom
# ΔH_f (0 K) = 0.0522 eV/atom
# Total magnetic moment = 1.38 μB per formula unit
data_CoTcRh2
_chemical_formula_sum 'Co1 Tc1 Rh2'
_cell_length_a 3.780
_cell_length_b 3.780
_cell_length_c 3.758
_cell_angle_alpha 90.00
_cell_angle_beta 90.00
_cell_angle_gamma 90.00
_space_group_name_H-M_alt 'P 4/m m m'
_space_group_IT_number 123
_space_group_name_Hall '-P 4 2'
loop_
_atom_site_label
_atom_site_fract_x
_atom_site_fract_y
_atom_site_fract_z
Co1 0.000 0.000 0.000
Tc1 0.500 0.500 0.000
Rh1 0.000 0.500 0.500

***

# 7
# PBE SrTe3O, optimized geometry
# Formation energy without anion corrections = -632 meV per atom
# Offset from the most stable computed form = 0 meV/atom
# Calculated total energy = -3.845 eV per atom
# Total magnetic moment = 0.00 μB per formula unit
data_SrTe3O
_chemical_formula_sum 'Sr1 Te3 O1'
_cell_length_a 4.994
_cell_length_b 4.994
_cell_length_c 4.994
_cell_angle_alpha 90.00
_cell_angle_beta 90.00
_cell_angle_gamma 90.00
_space_group_name_H-M_alt 'P m -3 m'
_space_group_IT_number 221
_space_group_name_Hall '-P 4 2 3'
loop_
_atom_site_label
_atom_site_fract_x
_atom_site_fract_y
_atom_site_fract_z
Sr1 0.000 0.000 0.000
Te1 0.000 0.500 0.500
O1 0.500 0.500 0.500

***

# 8
# PBE La4PdSBr2, optimized geometry
# Formation energy without anion corrections = -1398 meV per atom
# Calculated total energy = -5.445 eV per atom
# Total magnetic moment = 0.00 μB per formula unit
data_La4PdSBr2
_chemical_formula_sum 'La4 Pd1 S1 Br2'
_cell_length_a 7.459
_cell_length_b 4.131
_cell_length_c 7.880
_cell_angle_alpha 90.00
_cell_angle_beta 108.06
_cell_angle_gamma 90.00
_space_group_name_H-M_alt 'P 1 2/m 1'
_space_group_IT_number 10
_space_group_name_Hall '-P 2y'
loop_
_atom_site_label
_atom_site_fract_x
_atom_site_fract_y
_atom_site_fract_z
La1 0.224 0.000 0.216
La2 0.263 0.500 0.787
Pd1 0.500 0.000 0.000
S1 0.000 0.500 0.000
Br1 0.000 0.000 0.500
Br2 0.500 0.500 0.500

***

# 9
# PBE ZrNi2Ir, optimized geometry
# Calculated total energy = -7.294 eV per atom
# ΔH_f (0 K) = -0.0506 eV/atom
# Total magnetic moment = 0.00 μB per formula unit
data_ZrNi2Ir
_chemical_formula_sum 'Zr4 Ni8 Ir4'
_cell_length_a 3.784
_cell_length_b 3.784
_cell_length_c 17.782
_cell_angle_alpha 90.00
_cell_angle_beta 90.00
_cell_angle_gamma 90.00
_space_group_name_H-M_alt 'I -4 2 d'
_space_group_IT_number 122
_space_group_name_Hall 'I -4 2bw'
loop_
_atom_site_label
_atom_site_fract_x
_atom_site_fract_y
_atom_site_fract_z
Zr1 0.000 0.000 0.000
Ni1 0.209 0.250 0.625
Ir1 0.000 0.000 0.500